Density functional theory data (PBEsol) for K2InGaCl6 after structural relaxation.

abc: 7.4258 7.4258 7.4258
angles: 60.00 60.00 60.00
Last column: nearest neighbours and their distance in Å.
Fractional positions:
1 K 0.7500 0.7500 0.7500  12 Cl 3.71
2 K 0.2500 0.2500 0.2500  12 Cl 3.71
3 In 0.5000 0.5000 0.5000  6 Cl 2.52
4 Ga 0.0000 0.0000 0.0000  6 Cl 2.73
5 Cl 0.7401 0.2599 0.2599  1 In 2.52, 1 Ga 2.73
6 Cl 0.7401 0.7401 0.2599  1 In 2.52, 1 Ga 2.73
7 Cl 0.2599 0.7401 0.7401  1 In 2.52, 1 Ga 2.73
8 Cl 0.7401 0.2599 0.7401  1 In 2.52, 1 Ga 2.73
9 Cl 0.2599 0.7401 0.2599  1 In 2.52, 1 Ga 2.73
10 Cl 0.2599 0.2599 0.7401  1 In 2.52, 1 Ga 2.73

## Properties
* total magnetization: 0.000 μB per formula unit
* total DFT energy (no corrections): -0.250 Ry/atom

Density functional theory data (PBEsol) for LaInGaCl2 after structural relaxation.

abc: 5.0274 5.0274 5.9223
angles: 90.00 90.00 90.00
Last column: nearest neighbours and their distance in Å.
Fractional positions:
1 Cl 0.0000 0.5000 0.0000  2 Ga 2.51
2 Cl 0.5000 0.0000 0.0000  2 Ga 2.51
3 In 0.5000 0.5000 0.5000  4 La 3.55, 8 Cl 3.88
4 Ga 0.0000 0.0000 0.0000  4 Cl 2.51
5 La 0.0000 0.0000 0.5000  2 Ga 2.96

## Properties
* total magnetization: 0.064 μB per formula unit
* total DFT energy (no corrections): -0.253 Ry/atom

Density functional theory data (PBEsol) for GaIrCl3 after structural relaxation.

abc: 4.7117 4.7117 4.7117
angles: 90.00 90.00 90.00
Last column: nearest neighbours and their distance in Å.
Fractional positions:
1 Ir 0.5000 0.5000 0.5000  12 Cl 3.33
2 Ga 0.0000 0.0000 0.0000  6 Cl 2.36
3 Cl 0.0000 0.5000 0.0000  2 Ga 2.36
4 Cl 0.0000 0.0000 0.5000  2 Ga 2.36
5 Cl 0.5000 0.0000 0.0000  2 Ga 2.36

## Properties
* total magnetization: 2.228 μB per formula unit
* total DFT energy (no corrections): -0.229 Ry/atom

Density functional theory data (PBEsol) for Ga3IrCl after structural relaxation.

abc: 4.7762 4.7762 4.7762
angles: 90.00 90.00 90.00
Last column: nearest neighbours and their distance in Å.
Fractional positions:
1 Ir 0.0000 0.0000 0.0000  6 Ga 2.39
2 Ga 0.0000 0.5000 0.0000  2 Ir 2.39
3 Ga 0.0000 0.0000 0.5000  2 Ir 2.39
4 Ga 0.5000 0.0000 0.0000  2 Ir 2.39
5 Cl 0.5000 0.5000 0.5000  12 Ga 3.38

## Properties
* total magnetization: 0.000 μB per formula unit
* total DFT energy (no corrections): -0.355 Ry/atom

Density functional theory data (PBEsol) for GaP2IrCl after structural relaxation.

abc: 4.4898 4.4898 5.3114
angles: 90.00 90.00 90.00
Last column: nearest neighbours and their distance in Å.
Fractional positions:
1 P 0.0000 0.5000 0.0000  2 Ir 2.24
2 P 0.5000 0.0000 0.0000  2 Ir 2.24
3 Ir 0.0000 0.0000 0.0000  4 P 2.24
4 Ga 0.5000 0.5000 0.5000  4 Cl 3.17, 8 P 3.48
5 Cl 0.0000 0.0000 0.5000  2 Ir 2.66

## Properties
* total magnetization: 0.000 μB per formula unit
* total DFT energy (no corrections): -0.367 Ry/atom

Density functional theory data (PBEsol) for KGaCl4 after structural relaxation.

abc: 7.1883 9.6842 9.9802
angles: 90.00 90.00 90.01
Last column: nearest neighbours and their distance in Å.
Fractional positions:
1 K 0.8168 0.7610 0.2657  8 Cl 3.21-3.29
2 K 0.6832 0.7390 0.7657  8 Cl 3.21-3.29
3 K 0.1832 0.2390 0.7343  8 Cl 3.21-3.29
4 K 0.3168 0.2610 0.2343  8 Cl 3.21-3.29
5 Ga 0.2471 0.6836 0.5162  4 Cl 2.18-2.19
6 Ga 0.2529 0.8164 0.0162  4 Cl 2.18-2.19
7 Ga 0.7529 0.3164 0.4838  4 Cl 2.18-2.19
8 Ga 0.7471 0.1836 0.9838  4 Cl 2.18-2.19
9 Cl 0.3282 0.9387 0.8408  1 Ga 2.18
10 Cl 0.1718 0.5613 0.3408  1 Ga 2.18
11 Cl 0.6718 0.0613 0.1592  1 Ga 2.18
12 Cl 0.8282 0.4387 0.6592  1 Ga 2.18
13 Cl 0.5074 0.1872 0.5191  1 Ga 2.19
14 Cl 0.9926 0.3128 0.0191  1 Ga 2.19
15 Cl 0.4926 0.8128 0.4809  1 Ga 2.19
16 Cl 0.0074 0.6872 0.9809  1 Ga 2.19
17 Cl 0.5078 0.3174 0.9453  1 Ga 2.19
18 Cl 0.9922 0.1826 0.4453  1 Ga 2.19
19 Cl 0.4922 0.6826 0.0547  1 Ga 2.19
20 Cl 0.0078 0.8174 0.5547  1 Ga 2.19
21 Cl 0.3191 0.5560 0.6889  1 Ga 2.18
22 Cl 0.1809 0.9440 0.1889  1 Ga 2.18
23 Cl 0.6809 0.4440 0.3111  1 Ga 2.18
24 Cl 0.8191 0.0560 0.8111  1 Ga 2.18

## Properties
* total magnetization: 0.000 μB per formula unit
* total DFT energy (no corrections): -0.261 Ry/atom

Density functional theory data (PBEsol) for K3GaCl after structural relaxation.

abc: 5.9248 5.9248 5.9248
angles: 90.00 90.00 90.00
Last column: nearest neighbours and their distance in Å.
Fractional positions:
1 K 0.0000 0.5000 0.0000  2 Cl 2.96
2 K 0.0000 0.0000 0.5000  2 Cl 2.96
3 K 0.5000 0.0000 0.0000  2 Cl 2.96
4 Ga 0.5000 0.5000 0.5000  12 K 4.19
5 Cl 0.0000 0.0000 0.0000  6 K 2.96

## Properties
* total magnetization: 0.000 μB per formula unit
* total DFT energy (no corrections): -0.167 Ry/atom

Density functional theory data (PBEsol) for K2NaGaCl6 after structural relaxation.

abc: 7.1062 7.1062 7.1062
angles: 60.00 60.00 60.00
Last column: nearest neighbours and their distance in Å.
Fractional positions:
1 K 0.7500 0.7500 0.7500  12 Cl 3.56
2 K 0.2500 0.2500 0.2500  12 Cl 3.56
3 Na 0.5000 0.5000 0.5000  6 Cl 2.67
4 Ga 0.0000 0.0000 0.0000  6 Cl 2.35
5 Cl 0.7657 0.2343 0.2343  1 Ga 2.35
6 Cl 0.7657 0.7657 0.2343  1 Ga 2.35
7 Cl 0.2343 0.7657 0.7657  1 Ga 2.35
8 Cl 0.7657 0.2343 0.7657  1 Ga 2.35
9 Cl 0.2343 0.7657 0.2343  1 Ga 2.35
10 Cl 0.2343 0.2343 0.7657  1 Ga 2.35

## Properties
* total magnetization: 0.000 μB per formula unit
* total DFT energy (no corrections): -0.256 Ry/atom

Density functional theory data (PBEsol) for La10Ga5Cl4 after structural relaxation.

abc: 7.9107 7.9107 16.7742
angles: 103.64 103.64 90.00
Last column: nearest neighbours and their distance in Å.
Fractional positions:
1 La 0.8948 0.3948 0.1356  5 Cl 2.95-3.28, 3 Ga 3.07-3.11
2 La 0.1287 0.9669 0.5956  5 Ga 3.22-3.31, 3 La 3.34-3.53
3 La 0.8713 0.0331 0.4044  5 Ga 3.22-3.31, 3 La 3.34-3.53
4 La 0.7408 0.8948 0.1356  5 Cl 2.95-3.28, 3 Ga 3.07-3.11
5 La 0.3478 0.3478 0.6957  1 Cl 3.06, 5 Ga 3.09-3.21, 4 La 3.34
6 La 0.3713 0.8713 0.4044  5 Ga 3.22-3.31, 3 La 3.34-3.53
7 La 0.6052 0.7592 0.8644  5 Cl 2.95-3.28, 3 Ga 3.07-3.11
8 La 0.5331 0.3713 0.4044  5 Ga 3.22-3.31, 3 La 3.34-3.53
9 La 0.2408 0.7408 0.1356  5 Cl 2.95-3.28, 3 Ga 3.07-3.11
10 La 0.8478 0.8478 0.6957  1 Cl 3.06, 5 Ga 3.09-3.21, 4 La 3.34
11 La 0.6522 0.6522 0.3043  1 Cl 3.06, 5 Ga 3.09-3.21, 4 La 3.34
12 La 0.4669 0.6287 0.5956  5 Ga 3.22-3.31, 3 La 3.34-3.53
13 La 0.6287 0.1287 0.5956  5 Ga 3.22-3.31, 3 La 3.34-3.53
14 La 0.2592 0.1052 0.8644  5 Cl 2.95-3.28, 3 Ga 3.07-3.11
15 La 0.9669 0.4669 0.5956  5 Ga 3.22-3.31, 3 La 3.34-3.53
16 La 0.7592 0.2592 0.8644  5 Cl 2.95-3.28, 3 Ga 3.07-3.11
17 La 0.3948 0.2408 0.1356  5 Cl 2.95-3.28, 3 Ga 3.07-3.11
18 La 0.1052 0.6052 0.8644  5 Cl 2.95-3.28, 3 Ga 3.07-3.11
19 La 0.0331 0.5331 0.4044  5 Ga 3.22-3.31, 3 La 3.34-3.53
20 La 0.1522 0.1522 0.3043  1 Cl 3.06, 5 Ga 3.09-3.21, 4 La 3.34
21 Ga 0.2474 0.7474 0.7362  1 Ga 2.70
22 Ga 0.9888 0.2474 0.7362  1 Ga 2.70
23 Ga 0.7474 0.4888 0.7362  1 Ga 2.70
24 Ga 0.2526 0.5112 0.2638  1 Ga 2.70
25 Ga 0.0112 0.7526 0.2638  1 Ga 2.70
26 Ga 0.5112 0.0112 0.2638  1 Ga 2.70
27 Ga 0.7526 0.2526 0.2638  1 Ga 2.70
28 Ga 0.7500 0.7500 0.5000  10 La 3.09-3.31
29 Ga 0.2500 0.2500 0.5000  10 La 3.09-3.31
30 Ga 0.4888 0.9888 0.7362  1 Ga 2.70
31 Cl 0.9446 0.9446 0.8892  5 La 2.95-3.06
32 Cl 0.8614 0.6386 0.0000  6 La 3.01-3.28, 1 Cl 3.10
33 Cl 0.1386 0.3614 0.0000  6 La 3.01-3.28, 1 Cl 3.10
34 Cl 0.6386 0.1386 0.0000  6 La 3.01-3.28, 1 Cl 3.10
35 Cl 0.4446 0.4446 0.8892  5 La 2.95-3.06
36 Cl 0.5554 0.5554 0.1108  5 La 2.95-3.06
37 Cl 0.0554 0.0554 0.1108  5 La 2.95-3.06
38 Cl 0.3614 0.8614 0.0000  6 La 3.01-3.28, 1 Cl 3.10

## Properties
* total magnetization: 0.000 μB per formula unit
* total DFT energy (no corrections): -0.381 Ry/atom

- What is the total magnetization in the sixth record?
  0.000 μB per formula unit